[1]
Computed, not measured: Cd11Pd4Pt9 after structural relaxation at the PBE level of DFT.

N(E_F) ... 0.29 states/eV/atom
Raw total energy ... -3.834 eV per atom

Lattice parameters (Å, degrees): 14.6862 19.2147 2.9945 90.00 90.00 90.00
Closest atoms and distances in Å follow each position.
Space group Cmmm (No. 65)
Asymmetric unit:
Cd 0.0000 0.0000 0.0000 (multiplicity 2)  8 Pt 2.83, 4 Cd 2.99-3.16
Cd 0.0000 0.1931 0.0000 (multiplicity 4)  8 Pt 2.82-2.83, 2 Cd 2.99
Cd 0.0000 0.3712 0.0000 (multiplicity 4)  6 Pt 2.89-2.92, 4 Pd 2.94, 2 Cd 2.99
Cd 0.2148 0.0000 0.0000 (multiplicity 4)  4 Pd 2.81, 4 Pt 2.88, 2 Cd 2.99
Cd 0.2303 0.1732 0.0000 (multiplicity 8)  6 Pt 2.80-2.99, 2 Pd 2.89, 3 Cd 2.99-3.01
Pd 0.1582 0.4235 0.5000 (multiplicity 8)  2 Pt 2.75-2.86, 6 Cd 2.81-2.94, 3 Pd 2.94-2.99
Pt 0.0000 0.5000 0.5000 (multiplicity 2)  4 Pd 2.75, 4 Cd 2.89, 2 Pt 2.99
Pt 0.1042 0.0965 0.5000 (multiplicity 8)  8 Cd 2.80-2.88, 3 Pt 2.99-3.06
Pt 0.1191 0.2776 0.5000 (multiplicity 8)  8 Cd 2.82-2.99, 1 Pd 2.86, 2 Pt 2.99

[2]
Computed, not measured: TbSi3Ir3 after structural relaxation at the PBE level of DFT.

N(E_F) ... 0.75 states/eV/atom
Raw total energy ... -7.196 eV per atom
ΔE to the lowest computed polymorph ... 212.3 meV per atom
E_form (uncorrected) ... -2.9 eV per formula unit

Lattice parameters (Å, degrees): 6.5389 6.5389 6.5389 90.00 90.00 90.00
Closest atoms and distances in Å follow each position.
Space group Pm-3n (No. 223)
Asymmetric unit:
Tb 0.0000 0.0000 0.0000 (multiplicity 2)  12 Ir 3.66, 12 Si 3.66
Si 0.0000 0.2500 0.5000 (multiplicity 6)  4 Ir 2.31
Ir 0.0000 0.5000 0.2500 (multiplicity 6)  4 Si 2.31

[3]
Computed, not measured: KSr2Ca after structural relaxation at the PBE level of DFT.

N(E_F) ... 1.61 states/eV/atom
Raw total energy ... -1.296 eV per atom
ΔE to the lowest computed polymorph ... 254.5 meV per atom

Lattice parameters (Å, degrees): 10.5440 10.5440 8.1088 90.00 90.00 90.00
Closest atoms and distances in Å follow each position.
Space group I-42d (No. 122)
Asymmetric unit:
K 0.0000 0.0000 0.0000 (multiplicity 4)  4 Sr 3.86, 2 Ca 4.05
Sr 0.2489 0.2500 0.1250 (multiplicity 8)  2 K 3.86, 2 Ca 3.87, 2 Sr 4.05
Ca 0.0000 0.0000 0.5000 (multiplicity 4)  4 Sr 3.87, 2 K 4.05

[4]
Computed, not measured: ZrAgSb2 after structural relaxation at the PBE level of DFT.

N(E_F) ... 1.07 states/eV/atom
Raw total energy ... -4.899 eV per atom
E_form (uncorrected) ... 0.0 eV per formula unit

Lattice parameters (Å, degrees): 7.8167 7.8167 6.4180 90.00 90.00 90.00
Closest atoms and distances in Å follow each position.
Space group I-42d (No. 122)
Asymmetric unit:
Zr 0.0000 0.0000 0.0000 (multiplicity 4)  4 Sb 2.96, 2 Ag 3.21
Ag 0.0000 0.0000 0.5000 (multiplicity 4)  4 Sb 2.80
Sb 0.2342 0.7500 0.6250 (multiplicity 8)  2 Ag 2.80, 2 Zr 2.96

[5]
Computed, not measured: KSb2S4 after structural relaxation at the PBE level of DFT.

N(E_F) ... 0.41 states/eV/atom
Raw total energy ... -4.124 eV per atom
ΔE to the lowest computed polymorph ... 0.0 meV per atom
E_form (uncorrected) ... -3.0 eV per formula unit

Lattice parameters (Å, degrees): 3.9759 12.9063 13.8373 90.00 90.00 90.00
Closest atoms and distances in Å follow each position.
Space group Cmcm (No. 63)
Asymmetric unit:
K 0.0000 0.1036 0.2500 (multiplicity 4)  6 S 3.13-3.28
Sb 0.0000 0.3645 0.0705 (multiplicity 8)  6 S 2.57-2.82
S 0.0000 0.0000 0.0000 (multiplicity 4)  4 Sb 2.82
S 0.0000 0.2682 0.6041 (multiplicity 8)  3 Sb 2.66-2.72
S 0.0000 0.4166 0.2500 (multiplicity 4)  2 Sb 2.57

[6]
Computed, not measured: RbInSnBr6 after structural relaxation at the PBE level of DFT.

N(E_F) ... 0.00 states/eV/atom
Raw total energy ... -2.992 eV per atom
E_form (uncorrected) ... -9.2 eV per formula unit

Lattice parameters (Å, degrees): 7.5145 7.5145 7.4973 90.00 90.00 120.00
Closest atoms and distances in Å follow each position.
Space group P312 (No. 149)
Asymmetric unit:
Rb 0.0000 0.0000 0.0000 (multiplicity 1)  6 Br 3.52
In 0.6667 0.3333 0.5000 (multiplicity 1)  6 Br 2.73
Sn 0.3333 0.6667 0.5000 (multiplicity 1)  6 Br 3.01
Br 0.3844 0.0285 0.7139 (multiplicity 6)  1 In 2.73, 1 Sn 3.01

[7]
Computed, not measured: NaCa4Tl3 after structural relaxation at the PBE level of DFT.

N(E_F) ... 0.59 states/eV/atom
Raw total energy ... -2.396 eV per atom

Lattice parameters (Å, degrees): 5.5596 5.5596 27.2027 90.00 90.00 120.00
Closest atoms and distances in Å follow each position.
Space group R-3m (No. 166, hexagonal axes)
Asymmetric unit:
Na 0.0000 0.0000 0.0000 (multiplicity 3)  8 Ca 3.45-3.52, 6 Tl 3.84
Ca 0.0000 0.0000 0.1293 (multiplicity 6)  7 Tl 3.37-3.50, 1 Na 3.52
Ca 0.0000 0.0000 0.3798 (multiplicity 6)  5 Tl 3.27-3.38, 3 Na 3.45
Tl 0.0000 0.0000 0.2556 (multiplicity 6)  8 Ca 3.32-3.50
Tl 0.0000 0.0000 0.5000 (multiplicity 3)  8 Ca 3.27-3.37

[8]
Computed, not measured: HgSF after structural relaxation at the PBE level of DFT.

N(E_F) ... 1.26 states/eV/atom
Raw total energy ... -2.347 eV per atom
ΔE to the lowest computed polymorph ... 490.1 meV per atom
E_form (uncorrected) ... -0.7 eV per formula unit

Lattice parameters (Å, degrees): 4.4134 4.4134 3.0114 90.00 90.00 120.00
Closest atoms and distances in Å follow each position.
Space group P3m1 (No. 156)
Asymmetric unit:
Hg 0.0000 0.0000 0.0000 (multiplicity 1)  3 S 2.55
S 0.3333 0.6667 0.0094 (multiplicity 1)  3 Hg 2.55
F 0.6667 0.3333 0.5077 (multiplicity 1)  6 Hg 2.95-2.97, 6 S 2.96, 2 F 3.01

[9]
Computed, not measured: Nd3Pu2Sb3 after structural relaxation at the PBE level of DFT.

N(E_F) ... 2.41 states/eV/atom
Raw total energy ... -7.740 eV per atom
E_form (uncorrected) ... -6.6 eV per formula unit

Lattice parameters (Å, degrees): 9.3624 9.3624 6.2942 90.00 90.00 120.00
Closest atoms and distances in Å follow each position.
Space group P6_3/mcm (No. 193)
Asymmetric unit:
Nd 0.0000 0.2556 0.2500 (multiplicity 6)  5 Sb 3.17-3.37
Pu 0.3333 0.6667 0.0000 (multiplicity 4)  2 Pu 3.15, 6 Sb 3.31
Sb 0.0000 0.3847 0.7500 (multiplicity 6)  5 Nd 3.17-3.37, 4 Pu 3.31

[10]
Computed, not measured: Pm2PuTl3Te6 after structural relaxation at the PBE level of DFT.

N(E_F) ... 1.21 states/eV/atom
Raw total energy ... -5.116 eV per atom
E_form (uncorrected) ... -11.6 eV per formula unit

Lattice parameters (Å, degrees): 7.8618 13.6144 8.5548 90.00 107.86 90.00
Closest atoms and distances in Å follow each position.
Space group C2/m (No. 12)
Asymmetric unit:
Pm 0.0000 0.1666 0.0000 (multiplicity 4)  6 Te 3.17
Pu 0.0000 0.5000 0.0000 (multiplicity 2)  6 Te 3.15
Tl 0.0000 0.0000 0.5000 (multiplicity 2)  6 Te 3.48-3.49
Tl 0.0000 0.3327 0.5000 (multiplicity 4)  6 Te 3.48-3.49
Te 0.2382 0.3343 0.2178 (multiplicity 8)  1 Pu 3.15, 2 Pm 3.17, 3 Tl 3.48-3.49
Te 0.2416 0.0000 0.2185 (multiplicity 4)  1 Pu 3.15, 2 Pm 3.17, 3 Tl 3.48-3.49

[11]
Computed, not measured: MgScB after structural relaxation at the PBE level of DFT.

N(E_F) ... 0.79 states/eV/atom
Raw total energy ... -5.056 eV per atom
ΔE to the lowest computed polymorph ... 236.9 meV per atom

Lattice parameters (Å, degrees): 12.1947 3.2053 5.1058 90.00 100.96 90.00
Closest atoms and distances in Å follow each position.
Space group C2/m (No. 12)
Asymmetric unit:
Mg 0.0791 0.0000 0.2894 (multiplicity 4)  3 B 2.38-2.56
Sc 0.1555 0.5000 0.8186 (multiplicity 4)  3 B 2.46-2.50
B 0.2447 0.5000 0.4158 (multiplicity 4)  2 B 1.81

[12]
Computed, not measured: KI after structural relaxation at the PBE level of DFT.

N(E_F) ... 0.00 states/eV/atom
Raw total energy ... -2.809 eV per atom
E_form (uncorrected) ... -3.0 eV per formula unit

Lattice parameters (Å, degrees): 7.1591 7.1591 7.1591 90.00 90.00 90.00
Closest atoms and distances in Å follow each position.
Space group Fm-3m (No. 225)
Asymmetric unit:
K 0.0000 0.0000 0.0000 (multiplicity 4)  6 I 3.58
I 0.0000 0.0000 0.5000 (multiplicity 4)  6 K 3.58

Question: N(E_F) of number 9 (Nd3Pu2Sb3)?
Answer: 2.41 states/eV/atom